## NaTc2NiTe (PBE-GGA)

Data for an optimized crystal structure of NaTc2NiTe.

Geometry as extended XYZ:
```
5
Lattice="4.8607 0.0000 0.0000 0.0000 4.8607 0.0000 0.0000 0.0000 5.2050" Properties=species:S:1:pos:R:3 pbc="T T T"
Na 0.0000 0.0000 0.0000
Tc 0.0000 2.4304 2.6025
Tc 2.4304 0.0000 2.6025
Ni 2.4304 2.4304 0.0000
Te 0.0000 0.0000 2.6025
```

Calculated values
The formation energy without anion corrections comes out at 1.737 eV per atom. The crystal system is tetragonal. Its volume is 123.0 Å³/cell. The space group is P4/mmm (123).